No. 1
Here is TbTm3Bi after structural relaxation from the Alexandria database. Energies are from PBE.

Summary:
- SG: Ima2
- Calculated formation energy: 175 meV per atom

a = 7.9086 Å, b = 7.9086 Å, c = 7.9086 Å
α = 87.12°, β = 114.17°, γ = 129.85°
Last column: nearest neighbours and their distance in Å.
Sites, in units of the cell vectors:
Tm (0.9649, 0.7877, 0.6773)  2 Bi 3.10-3.23, 2 Tb 3.20-3.28, 2 Tm 3.26
Tb (0.5410, 0.0336, 0.0074)  2 Bi 3.20, 4 Tm 3.20-3.28, 2 Tb 3.35
Bi (0.4518, 0.2689, 0.6829)  4 Tm 3.10-3.32, 2 Tb 3.20
Bi (0.5860, 0.7689, 0.3171)  4 Tm 3.10-3.32, 2 Tb 3.20
Tm (0.1104, 0.2877, 0.3227)  2 Bi 3.10-3.23, 2 Tb 3.20-3.28, 2 Tm 3.26
Tm (0.9939, 0.8143, 0.2401)  1 Tb 3.22, 4 Tm 3.26-3.54, 2 Bi 3.32-3.54
Tm (0.5742, 0.7538, 0.7599)  1 Tb 3.22, 4 Tm 3.26-3.54, 2 Bi 3.32-3.54
Tm (0.9939, 0.2538, 0.6796)  1 Tb 3.22, 4 Tm 3.26-3.54, 2 Bi 3.32-3.54
Tb (0.0262, 0.5336, 0.9926)  2 Bi 3.20, 4 Tm 3.20-3.28, 2 Tb 3.35
Tm (0.5742, 0.3143, 0.3204)  1 Tb 3.22, 4 Tm 3.26-3.54, 2 Bi 3.32-3.54

No. 2
Here is AcEu2Te after structural relaxation from the Alexandria database. Energies are from PBE.

Summary:
- Energy above the lowest structure with this stoichiometry: 0 meV per atom
- Energy relative to the elements, uncorrected: -0.67 eV/atom
- SG: R-3m

a = 4.2127 Å, b = 4.2127 Å, c = 11.0753 Å
α = 79.04°, β = 79.04°, γ = 60.00°
Last column: nearest neighbours and their distance in Å.
Sites, in units of the cell vectors:
Ac (0.5000, 0.5000, 0.5000)  6 Eu 4.13, 6 Ac 4.21
Eu (0.7304, 0.7304, 0.8088)  3 Te 3.19
Te (0.0000, 0.0000, 0.0000)  6 Eu 3.19
Eu (0.2696, 0.2696, 0.1912)  3 Te 3.19

No. 3
Here is Sr2TeBr after structural relaxation from the Alexandria database. Energies are from PBE.

Summary:
- Energy above the lowest structure with this stoichiometry: 5 meV per atom
- Energy relative to the elements, uncorrected: -1.56 eV/atom
- SG: P4/mmm

a = 4.6445 Å, b = 4.6445 Å, c = 6.5316 Å
α = 90.00°, β = 90.00°, γ = 90.00°
Last column: nearest neighbours and their distance in Å.
Sites, in units of the cell vectors:
Te (0.0000, 0.0000, 0.3754)  6 Sr 3.27-3.28
Sr (0.5000, 0.5000, 0.3746)  2 Br 3.27, 4 Te 3.28
Sr (0.0000, 0.0000, 0.8754)  2 Te 3.27, 4 Br 3.28
Br (0.5000, 0.5000, 0.8747)  6 Sr 3.27-3.28

Q: Number 1 is which compound?
A: TbTm3Bi